1.
Computed, not measured: a relaxed structure of ThCrGeO6 at the PBE+U level of DFT.

abc: 4.805 4.805 9.570
angles: 90.00 90.00 90.00
Element x y z (fractional)
Th (0.000, 0.000, 0.000)
Th (0.500, 0.500, 0.500)
Cr (0.000, 0.000, 0.331)
Cr (0.500, 0.500, 0.831)
Ge (0.000, 0.000, 0.661)
Ge (0.500, 0.500, 0.161)
O (0.171, 0.171, 0.500)
O (0.215, 0.215, 0.809)
O (0.221, 0.221, 0.182)
O (0.279, 0.721, 0.682)
O (0.285, 0.715, 0.309)
O (0.329, 0.671, 0.000)
O (0.671, 0.329, 0.000)
O (0.715, 0.285, 0.309)
O (0.721, 0.279, 0.682)
O (0.779, 0.779, 0.182)
O (0.785, 0.785, 0.809)
O (0.829, 0.829, 0.500)

Summary:
- E_tot: -7.609 eV per atom
- Symmetry: P4_2nm (102)


2.
Computed, not measured: a relaxed structure of TiCrGe2O at the PBE+U level of DFT.

abc: 4.621 4.621 3.592
angles: 90.00 90.00 90.00
Element x y z (fractional)
Ti (0.000, 0.000, 0.000)
Cr (0.500, 0.500, 0.000)
Ge (0.000, 0.500, 0.500)
Ge (0.500, 0.000, 0.500)
O (0.500, 0.500, 0.500)

Summary:
- E_tot: -5.797 eV per atom
- Symmetry: P4/mmm (123)


Ordered total magnetic moment results: 4.0; 0.8; unit μB per cell.